# 1
Below is a geometry-optimized BeCuAu2 structure, with properties calculated at the GGA-PBEsol level.

```
data_BeCuAu2
_chemical_formula_sum 'Be2 Cu2 Au4'
_cell_length_a 3.871
_cell_length_b 2.893
_cell_length_c 9.618
_cell_angle_alpha 90.00
_cell_angle_beta 90.00
_cell_angle_gamma 90.00
_symmetry_space_group_name_H-M 'A m m 2'
_symmetry_Int_Tables_number 38
loop_
_symmetry_equiv_pos_as_xyz
'x,y,z'
'-x,-y,z'
'-x,y,z'
'x,-y,z'
'x,y+1/2,z+1/2'
'-x,-y+1/2,z+1/2'
'-x,y+1/2,z+1/2'
'x,-y+1/2,z+1/2'
loop_
_atom_site_label
_atom_site_fract_x
_atom_site_fract_y
_atom_site_fract_z
Be1 0.000 0.000 0.000
Cu1 0.500 0.000 0.135
Au1 0.000 0.000 0.735
Au2 0.500 0.000 0.411
```

## Properties
VASP energy (Ry/atom): -0.3036
DFT formation energy (eV/atom): -0.08
V (Å³ per cell): 107.7

# 2
Below is a geometry-optimized BeCuAu structure, with properties calculated at the GGA-PBEsol level.

```
data_BeCuAu
_chemical_formula_sum 'Be4 Cu4 Au4'
_cell_length_a 5.658
_cell_length_b 5.658
_cell_length_c 5.658
_cell_angle_alpha 90.00
_cell_angle_beta 90.00
_cell_angle_gamma 90.00
_symmetry_space_group_name_H-M 'F -4 3 m'
_symmetry_Int_Tables_number 216
_symmetry_space_group_name_Hall 'F -4 2 3'
loop_
_atom_site_label
_atom_site_fract_x
_atom_site_fract_y
_atom_site_fract_z
Be1 0.000 0.000 0.000
Cu1 0.000 0.000 0.500
Au1 0.250 0.250 0.250
```

## Properties
VASP energy (Ry/atom): -0.2807
DFT formation energy (eV/atom): 0.27
V (Å³ per cell): 181.2

# 3
Below is a geometry-optimized BeCuAu structure, with properties calculated at the GGA-PBEsol level.

```
data_BeCuAu
_chemical_formula_sum 'Be2 Cu2 Au2'
_cell_length_a 2.882
_cell_length_b 2.882
_cell_length_c 8.730
_cell_angle_alpha 90.00
_cell_angle_beta 90.00
_cell_angle_gamma 90.00
_symmetry_space_group_name_H-M 'I 4 m m'
_symmetry_Int_Tables_number 107
_symmetry_space_group_name_Hall 'I 4 -2'
loop_
_atom_site_label
_atom_site_fract_x
_atom_site_fract_y
_atom_site_fract_z
Be1 0.000 0.000 0.000
Cu1 0.000 0.000 0.365
Au1 0.000 0.000 0.664
```

## Properties
VASP energy (Ry/atom): -0.3090
DFT formation energy (eV/atom): -0.12
V (Å³ per cell): 72.5

# 4
Below is a geometry-optimized BeFeCuAu2 structure, with properties calculated at the GGA-PBEsol level.

```
data_BeFeCuAu2
_chemical_formula_sum 'Be1 Fe1 Cu1 Au2'
_cell_length_a 4.645
_cell_length_b 4.645
_cell_length_c 3.847
_cell_angle_alpha 90.00
_cell_angle_beta 90.00
_cell_angle_gamma 90.00
_symmetry_space_group_name_H-M 'P 4/m m m'
_symmetry_Int_Tables_number 123
_symmetry_space_group_name_Hall '-P 4 2'
loop_
_atom_site_label
_atom_site_fract_x
_atom_site_fract_y
_atom_site_fract_z
Be1 0.000 0.000 0.000
Fe1 0.500 0.500 0.000
Cu1 0.000 0.000 0.500
Au1 0.000 0.500 0.500
```

## Properties
VASP energy (Ry/atom): -0.3010
DFT formation energy (eV/atom): 0.93
V (Å³ per cell): 83.0

# 5
Below is a geometry-optimized BeFeCuAu2 structure, with properties calculated at the GGA-PBEsol level.

```
data_BeFeCuAu2
_chemical_formula_sum 'Be1 Fe1 Cu1 Au2'
_cell_length_a 4.627
_cell_length_b 4.627
_cell_length_c 4.244
_cell_angle_alpha 90.00
_cell_angle_beta 90.00
_cell_angle_gamma 90.00
_symmetry_space_group_name_H-M 'P 4/m m m'
_symmetry_Int_Tables_number 123
_symmetry_space_group_name_Hall '-P 4 2'
loop_
_atom_site_label
_atom_site_fract_x
_atom_site_fract_y
_atom_site_fract_z
Be1 0.000 0.000 0.000
Fe1 0.500 0.500 0.000
Cu1 0.500 0.500 0.500
Au1 0.000 0.500 0.500
```

## Properties
VASP energy (Ry/atom): -0.2825
DFT formation energy (eV/atom): 1.19
V (Å³ per cell): 90.9

# 6
Below is a geometry-optimized BeNb2CuAu structure, with properties calculated at the GGA-PBEsol level.

```
data_BeNb2CuAu
_chemical_formula_sum 'Be1 Nb2 Cu1 Au1'
_cell_length_a 4.358
_cell_length_b 4.358
_cell_length_c 4.162
_cell_angle_alpha 90.00
_cell_angle_beta 90.00
_cell_angle_gamma 90.00
_symmetry_space_group_name_H-M 'P 4/m m m'
_symmetry_Int_Tables_number 123
_symmetry_space_group_name_Hall '-P 4 2'
loop_
_atom_site_label
_atom_site_fract_x
_atom_site_fract_y
_atom_site_fract_z
Be1 0.000 0.000 0.000
Nb1 0.000 0.500 0.000
Cu1 0.500 0.500 0.500
Au1 0.000 0.000 0.500
```

## Properties
VASP energy (Ry/atom): -0.4563
DFT formation energy (eV/atom): 0.57
V (Å³ per cell): 79.0

# 7
Below is a geometry-optimized BeFeAu3 structure, with properties calculated at the GGA-PBEsol level.

```
data_BeFeAu3
_chemical_formula_sum 'Be1 Fe1 Au3'
_cell_length_a 4.691
_cell_length_b 4.691
_cell_length_c 4.691
_cell_angle_alpha 90.00
_cell_angle_beta 90.00
_cell_angle_gamma 90.00
_symmetry_space_group_name_H-M 'P m -3 m'
_symmetry_Int_Tables_number 221
_symmetry_space_group_name_Hall '-P 4 2 3'
loop_
_atom_site_label
_atom_site_fract_x
_atom_site_fract_y
_atom_site_fract_z
Be1 0.000 0.000 0.000
Fe1 0.500 0.500 0.500
Au1 0.000 0.500 0.500
```

## Properties
VASP energy (Ry/atom): -0.2731
DFT formation energy (eV/atom): 1.23
V (Å³ per cell): 103.2

# 8
Below is a geometry-optimized NaBeGaAu2 structure, with properties calculated at the GGA-PBEsol level.

```
data_NaBeGaAu2
_chemical_formula_sum 'Na1 Be1 Ga1 Au2'
_cell_length_a 4.768
_cell_length_b 4.768
_cell_length_c 4.994
_cell_angle_alpha 90.00
_cell_angle_beta 90.00
_cell_angle_gamma 90.00
_symmetry_space_group_name_H-M 'P 4/m m m'
_symmetry_Int_Tables_number 123
_symmetry_space_group_name_Hall '-P 4 2'
loop_
_atom_site_label
_atom_site_fract_x
_atom_site_fract_y
_atom_site_fract_z
Na1 0.000 0.000 0.000
Be1 0.500 0.500 0.000
Ga1 0.000 0.000 0.500
Au1 0.000 0.500 0.500
```

## Properties
VASP energy (Ry/atom): -0.1897
DFT formation energy (eV/atom): 0.74
V (Å³ per cell): 113.5

# 9
Below is a geometry-optimized BeGaOs2Au structure, with properties calculated at the GGA-PBEsol level.

```
data_BeGaOs2Au
_chemical_formula_sum 'Be1 Ga1 Os2 Au1'
_cell_length_a 4.142
_cell_length_b 4.142
_cell_length_c 4.066
_cell_angle_alpha 90.00
_cell_angle_beta 90.00
_cell_angle_gamma 90.00
_symmetry_space_group_name_H-M 'P 4/m m m'
_symmetry_Int_Tables_number 123
_symmetry_space_group_name_Hall '-P 4 2'
loop_
_atom_site_label
_atom_site_fract_x
_atom_site_fract_y
_atom_site_fract_z
Be1 0.000 0.000 0.000
Ga1 0.000 0.000 0.500
Os1 0.000 0.500 0.000
Au1 0.500 0.500 0.500
```

## Properties
VASP energy (Ry/atom): -0.4683
DFT formation energy (eV/atom): 0.77
V (Å³ per cell): 69.7

# 10
Below is a geometry-optimized BeH3Au structure, with properties calculated at the GGA-PBEsol level.

```
data_BeH3Au
_chemical_formula_sum 'Be1 H3 Au1'
_cell_length_a 3.369
_cell_length_b 3.369
_cell_length_c 3.369
_cell_angle_alpha 90.00
_cell_angle_beta 90.00
_cell_angle_gamma 90.00
_symmetry_space_group_name_H-M 'P m -3 m'
_symmetry_Int_Tables_number 221
_symmetry_space_group_name_Hall '-P 4 2 3'
loop_
_atom_site_label
_atom_site_fract_x
_atom_site_fract_y
_atom_site_fract_z
Be1 0.000 0.000 0.000
H1 0.000 0.000 0.500
Au1 0.500 0.500 0.500
```

## Properties
VASP energy (Ry/atom): -0.2090
V (Å³ per cell): 38.2

# 11
Below is a geometry-optimized Hf2BeSiAu structure, with properties calculated at the GGA-PBEsol level.

```
data_Hf2BeSiAu
_chemical_formula_sum 'Hf2 Be1 Si1 Au1'
_cell_length_a 5.102
_cell_length_b 5.102
_cell_length_c 4.435
_cell_angle_alpha 90.00
_cell_angle_beta 90.00
_cell_angle_gamma 90.00
_symmetry_space_group_name_H-M 'P 4/m m m'
_symmetry_Int_Tables_number 123
_symmetry_space_group_name_Hall '-P 4 2'
loop_
_atom_site_label
_atom_site_fract_x
_atom_site_fract_y
_atom_site_fract_z
Hf1 0.000 0.500 0.000
Be1 0.000 0.000 0.500
Si1 0.500 0.500 0.500
Au1 0.500 0.500 0.000
```

## Properties
VASP energy (Ry/atom): -0.4306
E_form (uncorrected) (meV per atom): 1076
V (Å³ per cell): 115.5

# 12
Below is a geometry-optimized Hf2TaBeAu structure, with properties calculated at the GGA-PBEsol level.

```
data_Hf2TaBeAu
_chemical_formula_sum 'Hf2 Ta1 Be1 Au1'
_cell_length_a 4.997
_cell_length_b 4.997
_cell_length_c 4.906
_cell_angle_alpha 90.00
_cell_angle_beta 90.00
_cell_angle_gamma 90.00
_symmetry_space_group_name_H-M 'P 4/m m m'
_symmetry_Int_Tables_number 123
_symmetry_space_group_name_Hall '-P 4 2'
loop_
_atom_site_label
_atom_site_fract_x
_atom_site_fract_y
_atom_site_fract_z
Hf1 0.000 0.500 0.000
Ta1 0.000 0.000 0.500
Be1 0.500 0.500 0.500
Au1 0.000 0.000 0.000
```

## Properties
VASP energy (Ry/atom): -0.5059
DFT formation energy (eV/atom): 1.41
V (Å³ per cell): 122.5

# 13
Below is a geometry-optimized Be2HgAu structure, with properties calculated at the GGA-PBEsol level.

```
data_Be2HgAu
_chemical_formula_sum 'Be8 Hg4 Au4'
_cell_length_a 6.144
_cell_length_b 6.144
_cell_length_c 6.144
_cell_angle_alpha 90.00
_cell_angle_beta 90.00
_cell_angle_gamma 90.00
_symmetry_space_group_name_H-M 'F -4 3 m'
_symmetry_Int_Tables_number 216
_symmetry_space_group_name_Hall 'F -4 2 3'
loop_
_atom_site_label
_atom_site_fract_x
_atom_site_fract_y
_atom_site_fract_z
Be1 0.000 0.000 0.000
Be2 0.250 0.250 0.250
Hg1 0.250 0.250 0.750
Au1 0.000 0.000 0.500
```

## Properties
VASP energy (Ry/atom): -0.2008
DFT formation energy (eV/atom): 0.39
V (Å³ per cell): 231.9

# 14
Below is a geometry-optimized Be2HgAu structure, with properties calculated at the GGA-PBEsol level.

```
data_Be2HgAu
_chemical_formula_sum 'Be8 Hg4 Au4'
_cell_length_a 6.363
_cell_length_b 6.363
_cell_length_c 6.119
_cell_angle_alpha 90.00
_cell_angle_beta 90.00
_cell_angle_gamma 90.00
_symmetry_space_group_name_H-M 'I -4 2 d'
_symmetry_Int_Tables_number 122
_symmetry_space_group_name_Hall 'I -4 2bw'
loop_
_atom_site_label
_atom_site_fract_x
_atom_site_fract_y
_atom_site_fract_z
Be1 0.230 0.750 0.125
Hg1 0.000 0.000 0.500
Au1 0.000 0.000 0.000
```

## Properties
VASP energy (Ry/atom): -0.2004
DFT formation energy (eV/atom): 0.40
V (Å³ per cell): 247.7

# 15
Below is a geometry-optimized BeHg3Au structure, with properties calculated at the GGA-PBEsol level.

```
data_BeHg3Au
_chemical_formula_sum 'Be1 Hg3 Au1'
_cell_length_a 5.282
_cell_length_b 5.282
_cell_length_c 5.282
_cell_angle_alpha 90.00
_cell_angle_beta 90.00
_cell_angle_gamma 90.00
_symmetry_space_group_name_H-M 'P m -3 m'
_symmetry_Int_Tables_number 221
_symmetry_space_group_name_Hall '-P 4 2 3'
loop_
_atom_site_label
_atom_site_fract_x
_atom_site_fract_y
_atom_site_fract_z
Be1 0.000 0.000 0.000
Hg1 0.000 0.500 0.500
Au1 0.500 0.500 0.500
```

## Properties
VASP energy (Ry/atom): -0.0866
DFT formation energy (eV/atom): 0.75
V (Å³ per cell): 147.4

# 16
Below is a geometry-optimized BeHg2Au structure, with properties calculated at the GGA-PBEsol level.

```
data_BeHg2Au
_chemical_formula_sum 'Be2 Hg4 Au2'
_cell_length_a 4.109
_cell_length_b 4.109
_cell_length_c 8.162
_cell_angle_alpha 90.00
_cell_angle_beta 90.00
_cell_angle_gamma 90.00
_symmetry_space_group_name_H-M 'I 4/m m m'
_symmetry_Int_Tables_number 139
_symmetry_space_group_name_Hall '-I 4 2'
loop_
_atom_site_label
_atom_site_fract_x
_atom_site_fract_y
_atom_site_fract_z
Be1 0.000 0.000 0.000
Hg1 0.000 0.500 0.250
Au1 0.000 0.000 0.500
```

## Properties
VASP energy (Ry/atom): -0.1445
DFT formation energy (eV/atom): 0.30
V (Å³ per cell): 137.8

# 17
Below is a geometry-optimized Be2HgAu2 structure, with properties calculated at the GGA-PBEsol level.

```
data_Be2HgAu2
_chemical_formula_sum 'Be4 Hg2 Au4'
_cell_length_a 3.435
_cell_length_b 3.435
_cell_length_c 12.669
_cell_angle_alpha 90.00
_cell_angle_beta 90.00
_cell_angle_gamma 90.00
_symmetry_space_group_name_H-M 'I 4/m m m'
_symmetry_Int_Tables_number 139
_symmetry_space_group_name_Hall '-I 4 2'
loop_
_atom_site_label
_atom_site_fract_x
_atom_site_fract_y
_atom_site_fract_z
Be1 0.000 0.500 0.250
Hg1 0.000 0.000 0.000
Au1 0.000 0.000 0.376
```

## Properties
VASP energy (Ry/atom): -0.2474
DFT formation energy (eV/atom): -0.08
V (Å³ per cell): 149.5

# 18
Below is a geometry-optimized BeHgRu2Au structure, with properties calculated at the GGA-PBEsol level.

```
data_BeHgRu2Au
_chemical_formula_sum 'Be1 Hg1 Ru2 Au1'
_cell_length_a 4.912
_cell_length_b 4.912
_cell_length_c 4.958
_cell_angle_alpha 90.00
_cell_angle_beta 90.00
_cell_angle_gamma 90.00
_symmetry_space_group_name_H-M 'P 4/m m m'
_symmetry_Int_Tables_number 123
_symmetry_space_group_name_Hall '-P 4 2'
loop_
_atom_site_label
_atom_site_fract_x
_atom_site_fract_y
_atom_site_fract_z
Be1 0.000 0.000 0.000
Hg1 0.500 0.500 0.500
Ru1 0.000 0.500 0.500
Au1 0.500 0.500 0.000
```

## Properties
VASP energy (Ry/atom): -0.2439
DFT formation energy (eV/atom): 2.45
V (Å³ per cell): 119.6

# 19
Below is a geometry-optimized Be2InAuI structure, with properties calculated at the GGA-PBEsol level.

```
data_Be2InAuI
_chemical_formula_sum 'Be2 In1 Au1 I1'
_cell_length_a 4.503
_cell_length_b 4.503
_cell_length_c 6.164
_cell_angle_alpha 90.00
_cell_angle_beta 90.00
_cell_angle_gamma 90.00
_symmetry_space_group_name_H-M 'P 4/m m m'
_symmetry_Int_Tables_number 123
_symmetry_space_group_name_Hall '-P 4 2'
loop_
_atom_site_label
_atom_site_fract_x
_atom_site_fract_y
_atom_site_fract_z
Be1 0.000 0.500 0.000
In1 0.000 0.000 0.000
Au1 0.500 0.500 0.500
I1 0.000 0.000 0.500
```

## Properties
VASP energy (Ry/atom): -0.1722
E_form (uncorrected) (meV per atom): 992
V (Å³ per cell): 125.0

# 20
Below is a geometry-optimized BeRuAu2I structure, with properties calculated at the GGA-PBEsol level.

```
data_BeRuAu2I
_chemical_formula_sum 'Be1 Ru1 Au2 I1'
_cell_length_a 4.274
_cell_length_b 4.274
_cell_length_c 4.917
_cell_angle_alpha 90.00
_cell_angle_beta 90.00
_cell_angle_gamma 90.00
_symmetry_space_group_name_H-M 'P 4/m m m'
_symmetry_Int_Tables_number 123
_symmetry_space_group_name_Hall '-P 4 2'
loop_
_atom_site_label
_atom_site_fract_x
_atom_site_fract_y
_atom_site_fract_z
Be1 0.000 0.000 0.000
Ru1 0.500 0.500 0.500
Au1 0.000 0.500 0.000
I1 0.000 0.000 0.500
```

## Properties
VASP energy (Ry/atom): -0.2778
E_form (uncorrected) (meV per atom): 977
V (Å³ per cell): 89.8